AlCrNO2: optimized geometry, PBE+U.

Cell lengths 3.6630, 3.6630, 3.8171 Å; angles 90.00, 90.00, 90.00 degrees
Closest atoms and distances in Å follow each position.
Element x y z (fractional)
Al (0.0000, 0.0000, 0.0000)  4 O 1.83, 2 N 1.91
Cr (0.5000, 0.5000, 0.5000)  4 N 2.59, 8 O 2.65
N (0.0000, 0.0000, 0.5000)  2 Al 1.91
O (0.0000, 0.5000, 0.0000)  2 Al 1.83
O (0.5000, 0.0000, 0.0000)  2 Al 1.83

Output
- Final energy: -6.74 eV/atom